The following is a DFT calculation (GGA-PBE) of an optimized crystal structure of BaSb2Pb.

Properties
Magnetization in μB per cell: 0.0
SG: F-43m, No. 216
Raw total energy in eV/atom: -3.693
Raw formation energy in eV per atom: -0.224

Cell lengths 5.7380, 5.7380, 5.7380 Å; angles 60.00, 60.00, 60.00 degrees
Closest atoms and distances in Å follow each position.
Fractional coordinates of all 4 atoms:
Pb  0.7500  0.7500  0.7500  4 Ba 3.51, 4 Sb 3.51
Sb  0.2500  0.2500  0.2500  4 Ba 3.51, 4 Sb 3.51
Sb  0.0000  0.0000  0.0000  4 Pb 3.51, 4 Sb 3.51
Ba  0.5000  0.5000  0.5000  4 Pb 3.51, 4 Sb 3.51

***

The following is a DFT calculation (GGA-PBE) of an optimized crystal structure of IrRuO2F.

Properties
Magnetization in μB per cell: 3.7
SG: P4/mmm, No. 123
Raw total energy in eV/atom: -5.763
Raw formation energy in eV per atom: 0.222

Cell lengths 3.8187, 3.8187, 4.6899 Å; angles 90.00, 90.00, 90.00 degrees
Closest atoms and distances in Å follow each position.
Fractional coordinates of all 5 atoms:
Ir  0.0000  0.0000  0.0000  4 O 1.91
F  0.0000  0.0000  0.5000  2 Ir 2.34
O  0.0000  0.5000  0.0000  2 Ir 1.91
O  0.5000  0.0000  0.0000  2 Ir 1.91
Ru  0.5000  0.5000  0.5000  4 F 2.70, 8 O 3.02

***

The following is a DFT calculation (GGA-PBE) of an optimized crystal structure of VCrCoTc.

Properties
Magnetization in μB per cell: 2.7
SG: F-43m, No. 216
Raw total energy in eV/atom: -9.106
Calculated formation energy in kcal/mol of atoms: -1.21

Cell lengths 4.1622, 4.1622, 4.1622 Å; angles 60.00, 60.00, 60.00 degrees
Closest atoms and distances in Å follow each position.
Fractional coordinates of all 4 atoms:
Cr  0.0000  0.0000  0.0000  4 Tc 2.55, 4 Co 2.55
Tc  0.7500  0.7500  0.7500  4 V 2.55, 4 Cr 2.55
V  0.5000  0.5000  0.5000  4 Co 2.55, 4 Tc 2.55
Co  0.2500  0.2500  0.2500  4 Cr 2.55, 4 V 2.55

***

The following is a DFT calculation (GGA-PBE) of an optimized crystal structure of RbNa14Mg.

Properties
Magnetization in μB per cell: 0.0
SG: P4/mmm, No. 123
Raw total energy in eV/atom: -1.266
Calculated formation energy in kcal/mol of atoms: 1.10

Cell lengths 7.7413, 7.7413, 10.1910 Å; angles 90.00, 90.00, 90.00 degrees
Closest atoms and distances in Å follow each position.
Fractional coordinates of all 16 atoms:
Rb  0.8750  0.8750  0.5000  12 Na 3.87-3.92
Na  0.8750  0.8750  0.0000  12 Na 3.87
Na  0.1443  0.1443  0.7534  8 Na 3.56-3.87, 1 Mg 3.61, 1 Rb 3.92
Na  0.8750  0.3750  0.0000  12 Na 3.72-3.87
Na  0.1442  0.6058  0.2466  8 Na 3.56-3.87, 1 Mg 3.61, 1 Rb 3.92
Na  0.6057  0.6057  0.7534  8 Na 3.56-3.87, 1 Mg 3.61, 1 Rb 3.92
Na  0.3750  0.3750  0.0000  12 Na 3.56-3.87
Na  0.6058  0.1442  0.7534  8 Na 3.56-3.87, 1 Mg 3.61, 1 Rb 3.92
Na  0.6058  0.1442  0.2466  8 Na 3.56-3.87, 1 Mg 3.61, 1 Rb 3.92
Na  0.3750  0.8750  0.0000  12 Na 3.72-3.87
Na  0.3750  0.8750  0.5000  8 Na 3.77, 2 Mg 3.87, 2 Rb 3.87
Na  0.1443  0.1443  0.2466  8 Na 3.56-3.87, 1 Mg 3.61, 1 Rb 3.92
Na  0.6057  0.6057  0.2466  8 Na 3.56-3.87, 1 Mg 3.61, 1 Rb 3.92
Na  0.8750  0.3750  0.5000  8 Na 3.77, 2 Mg 3.87, 2 Rb 3.87
Na  0.1442  0.6058  0.7534  8 Na 3.56-3.87, 1 Mg 3.61, 1 Rb 3.92
Mg  0.3750  0.3750  0.5000  12 Na 3.61-3.87

***

The following is a DFT calculation (GGA-PBE) of an optimized crystal structure of InAg2Ru.

Properties
Magnetization in μB per cell: 0.1
SG: R3m, No. 160
Raw total energy in eV/atom: -4.138
Calculated formation energy in kcal/mol of atoms: 6.73

Cell lengths 9.4659, 9.4659, 9.4659 Å; angles 18.08, 18.08, 18.08 degrees
Closest atoms and distances in Å follow each position.
Fractional coordinates of all 4 atoms:
In  0.4954  0.4954  0.4954  3 Ru 2.76, 6 In 2.97, 3 Ag 3.01
Ru  0.7512  0.7512  0.7512  3 In 2.76, 3 Ag 2.86, 6 Ru 2.97
Ag  0.0026  0.0026  0.0026  3 Ru 2.86, 9 Ag 2.93-2.97
Ag  0.2508  0.2508  0.2508  9 Ag 2.93-2.97, 3 In 3.01

***

The following is a DFT calculation (GGA-PBE) of an optimized crystal structure of CaPr2Tl4.

Properties
Magnetization in μB per cell: 0.0
SG: I4/mmm, No. 139
Raw total energy in eV/atom: -3.253
Calculated formation energy in kcal/mol of atoms: -5.75

Cell lengths 5.3756, 5.3756, 8.6073 Å; angles 108.20, 108.20, 90.00 degrees
Closest atoms and distances in Å follow each position.
Fractional coordinates of all 7 atoms:
Pr  0.7492  0.7492  0.4984  8 Tl 3.41-3.43, 4 Pr 3.80
Pr  0.2508  0.2508  0.5016  8 Tl 3.41-3.43, 4 Pr 3.80
Tl  0.3866  0.8866  0.7733  2 Ca 3.21, 4 Pr 3.41-3.43, 1 Tl 3.50
Tl  0.1134  0.6134  0.2267  2 Ca 3.21, 4 Pr 3.41-3.43, 1 Tl 3.50
Tl  0.6134  0.1134  0.2267  2 Ca 3.21, 4 Pr 3.41-3.43, 1 Tl 3.50
Tl  0.8866  0.3866  0.7733  2 Ca 3.21, 4 Pr 3.41-3.43, 1 Tl 3.50
Ca  0.0000  0.0000  0.0000  8 Tl 3.21

***

The following is a DFT calculation (GGA-PBE) of an optimized crystal structure of CaCdSe3.

Properties
Magnetization in μB per cell: 0.0
SG: Pm-3m, No. 221
Raw total energy in eV/atom: -3.041
Raw formation energy in eV per atom: -0.367

Cell lengths 5.2324, 5.2324, 5.2324 Å; angles 90.00, 90.00, 90.00 degrees
Closest atoms and distances in Å follow each position.
Fractional coordinates of all 5 atoms:
Ca  0.5000  0.5000  0.5000  12 Se 3.70
Cd  0.0000  0.0000  0.0000  6 Se 2.62
Se  0.0000  0.0000  0.5000  2 Cd 2.62
Se  0.5000  0.0000  0.0000  2 Cd 2.62
Se  0.0000  0.5000  0.0000  2 Cd 2.62

***

The following is a DFT calculation (GGA-PBE) of an optimized crystal structure of GdFe4Ni.

Properties
Magnetization in μB per cell: 17.1
SG: F-43m, No. 216
Raw total energy in eV/atom: -8.858
Calculated formation energy in kcal/mol of atoms: 2.17

Cell lengths 4.9542, 4.9542, 4.9542 Å; angles 60.00, 60.00, 60.00 degrees
Closest atoms and distances in Å follow each position.
Fractional coordinates of all 6 atoms:
Ni  0.2500  0.2500  0.2500  12 Fe 2.90, 4 Gd 3.03
Fe  0.1270  0.6243  0.6243  6 Fe 2.46-2.49
Fe  0.6243  0.1270  0.6243  6 Fe 2.46-2.49
Fe  0.6243  0.6243  0.6243  6 Fe 2.46-2.49
Fe  0.6243  0.6243  0.1270  6 Fe 2.46-2.49
Gd  0.0000  0.0000  0.0000  12 Fe 2.91, 4 Ni 3.03